80
Lattice="14.513 0.000 0.000 -4.838 13.683 0.000 -4.838 -6.841 11.849" Properties=species:S:1:pos:R:3 comment="Pm3Cu5Te12 GGA-PBE optimized geometry" dft_energy_ev_per_atom=-4.06 e_form_raw_ev_per_atom=-0.44 pbc="T T T"
Cu 6.047 -4.276 10.368
Cu 6.047 5.986 4.444
Cu 3.628 10.262 2.962
Cu -2.419 6.841 0.000
Cu -1.209 11.117 1.481
Cu 6.047 3.421 8.887
Cu 3.628 2.565 1.481
Cu -1.209 0.855 7.406
Cu 1.209 4.276 10.368
Cu 0.000 0.000 0.000
Cu -3.628 7.696 4.444
Cu -4.838 3.421 5.925
Cu -2.419 -3.421 5.925
Cu 1.209 -3.421 8.887
Cu 4.838 6.841 0.000
Cu 8.466 -0.855 7.406
Cu 4.838 -3.421 5.925
Cu 7.256 0.000 0.000
Cu 2.419 3.421 5.925
Cu -1.209 3.421 2.962
Te 9.526 1.428 0.362
Te 1.726 -1.797 10.793
Te -1.285 -3.646 8.371
Te 9.085 0.805 5.562
Te 4.247 -1.799 3.841
Te -1.285 4.835 10.431
Te 6.563 6.825 2.084
Te -1.828 -0.805 5.562
Te 9.824 -3.020 7.343
Te 0.590 8.640 8.009
Te 5.972 -1.189 6.953
Te 3.112 8.638 1.056
Te 8.541 -4.835 10.431
Te -0.693 8.654 1.028
Te 5.531 -1.813 10.821
Te -4.247 6.036 6.287
Te 1.285 1.189 6.953
Te -4.987 9.861 4.507
Te -3.009 7.835 9.403
Te 6.122 10.487 3.478
Te 4.688 2.393 6.981
Te 10.809 3.195 3.478
Te -4.688 5.413 11.487
Te 5.531 1.797 10.793
Te -0.693 5.044 1.056
Te 2.269 9.234 4.869
Te 10.368 6.857 2.084
Te -5.972 3.646 8.371
Te -2.568 3.020 7.343
Te 5.428 5.847 9.403
Te 6.666 7.646 6.287
Te 7.847 -0.994 2.446
Te 7.406 3.821 4.507
Te 1.828 5.042 8.009
Te 6.122 2.006 1.418
Te -2.568 -5.413 11.487
Te 3.112 5.028 1.028
Te -0.590 0.994 2.446
Te 7.406 12.254 0.362
Te 2.568 -2.393 6.981
Te 3.553 5.652 4.897
Te -5.531 -0.016 9.765
Te 1.726 1.813 10.821
Te 0.149 4.449 4.869
Te -1.134 8.031 4.897
Te -3.703 11.676 1.418
Te -1.726 0.016 9.765
Te 3.009 1.799 3.841
Pm 6.047 0.855 4.444
Pm -3.628 -2.565 10.368
Pm 10.884 0.000 2.962
Pm 1.209 6.841 2.962
Pm 8.466 4.276 1.481
Pm -3.628 2.565 10.368
Pm -1.209 5.986 7.406
Pm 1.209 -0.855 4.444
Pm 3.628 7.696 7.406
Pm 8.466 9.407 1.481
Pm 3.628 0.000 8.887
Pm -6.047 6.841 8.887